(1)
The following is a PBE-GGA calculation of a relaxed structure of K5Ba, from Alexandria.

abc: 8.394 8.394 7.311
angles: 90.00 90.00 120.00
Positions (direct):
K: 0.000 0.500 0.000
K: 0.333 0.667 0.500
K: 0.500 0.000 0.000
K: 0.500 0.500 0.000
K: 0.667 0.333 0.500
Ba: 0.000 0.000 0.500

Calculated values
Spin magnetization ... 0.00 μB per formula unit
E_form ... 0.136 eV per atom

(2)
The following is a PBE-GGA calculation of a relaxed structure of CdSi2Tc, from Alexandria.

abc: 4.736 4.736 4.736
angles: 129.53 129.53 74.17
Positions (direct):
Cd: 0.000 0.000 0.000
Si: 0.250 0.750 0.500
Si: 0.750 0.250 0.500
Tc: 0.500 0.500 0.000

Calculated values
Spin magnetization ... 0.30 μB per formula unit
Formation energy (no corrections) ... 0.3437 eV per atom

(3)
The following is a PBE-GGA calculation of a relaxed structure of V2Ga2Ag, from Alexandria.

abc: 7.611 7.611 2.735
angles: 90.00 90.00 90.00
Positions (direct):
V: 0.110 0.390 0.000
V: 0.390 0.890 0.000
V: 0.610 0.110 0.000
V: 0.890 0.610 0.000
Ga: 0.186 0.686 0.500
Ga: 0.314 0.186 0.500
Ga: 0.686 0.814 0.500
Ga: 0.814 0.314 0.500
Ag: 0.000 0.000 0.000
Ag: 0.500 0.500 0.000

Calculated values
Spin magnetization ... 0.00 μB per formula unit
E_form ... 0.073 eV per atom

(4)
The following is a PBE-GGA calculation of a relaxed structure of SrLiHg, from Alexandria.

abc: 5.253 5.253 5.253
angles: 60.00 60.00 60.00
Positions (direct):
Sr: 0.000 0.000 0.000
Li: 0.500 0.500 0.500
Hg: 0.250 0.250 0.250

Calculated values
Spin magnetization ... 0.00 μB per formula unit
E_form ... -0.217 eV per atom

(5)
The following is a PBE-GGA calculation of a relaxed structure of Ac4PrTh3Sb8, from Alexandria.

abc: 9.328 9.328 9.328
angles: 59.66 59.66 59.66
Positions (direct):
Ac: 0.000 0.000 0.000
Ac: 0.000 0.500 0.500
Ac: 0.500 0.000 0.500
Ac: 0.500 0.500 0.000
Pr: 0.500 0.500 0.500
Th: 0.000 0.000 0.500
Th: 0.000 0.500 0.000
Th: 0.500 0.000 0.000
Sb: 0.242 0.746 0.746
Sb: 0.244 0.244 0.244
Sb: 0.254 0.254 0.758
Sb: 0.254 0.758 0.254
Sb: 0.746 0.242 0.746
Sb: 0.746 0.746 0.242
Sb: 0.756 0.756 0.756
Sb: 0.758 0.254 0.254

Calculated values
Spin magnetization ... 0.00 μB per formula unit
Formation energy (no corrections) ... -1.1032 eV per atom

(6)
The following is a PBE-GGA calculation of a relaxed structure of Tb4GaCo2, from Alexandria.

abc: 6.693 6.717 8.211
angles: 107.67 106.70 102.19
Positions (direct):
Tb: 0.000 0.000 0.000
Tb: 0.021 0.303 0.440
Tb: 0.081 0.479 0.948
Tb: 0.169 0.801 0.391
Tb: 0.434 0.812 0.852
Tb: 0.591 0.392 0.613
Tb: 0.626 0.413 0.100
Tb: 0.716 0.858 0.512
Ga: 0.245 0.138 0.745
Ga: 0.474 0.053 0.242
Co: 0.014 0.704 0.673
Co: 0.330 0.388 0.286
Co: 0.650 0.138 0.789
Co: 0.752 0.876 0.194

Calculated values
Spin magnetization ... 0.00 μB per formula unit
E_form ... -0.223 eV per atom

(7)
The following is a PBE-GGA calculation of a relaxed structure of BiIrS2, from Alexandria.

abc: 3.863 3.863 5.327
angles: 90.00 90.00 90.00
Positions (direct):
Bi: 0.000 0.000 0.000
Ir: 0.500 0.500 0.500
S: 0.000 0.000 0.500
S: 0.500 0.500 0.000

Calculated values
Spin magnetization ... 0.00 μB per formula unit
Formation energy (no corrections) ... 0.4626 eV per atom

(8)
The following is a PBE-GGA calculation of a relaxed structure of La2PrCd2, from Alexandria.

abc: 3.898 5.600 14.545
angles: 90.00 97.72 90.00
Positions (direct):
La: 0.044 0.250 0.088
La: 0.233 0.250 0.471
La: 0.767 0.750 0.529
La: 0.956 0.750 0.912
Pr: 0.149 0.750 0.296
Pr: 0.851 0.250 0.704
Cd: 0.360 0.750 0.720
Cd: 0.445 0.250 0.892
Cd: 0.555 0.750 0.108
Cd: 0.640 0.250 0.280

Calculated values
Spin magnetization ... 0.00 μB per formula unit
E_form ... -0.252 eV per atom

(9)
The following is a PBE-GGA calculation of a relaxed structure of LiTb2Br, from Alexandria.

abc: 11.414 11.414 11.414
angles: 17.52 17.52 17.52
Positions (direct):
Li: 0.000 0.000 0.000
Tb: 0.096 0.096 0.096
Tb: 0.904 0.904 0.904
Br: 0.500 0.500 0.500

Calculated values
Spin magnetization ... 0.00 μB per formula unit
Formation energy (no corrections) ... -0.2353 eV per atom

(10)
The following is a PBE-GGA calculation of a relaxed structure of Zr2TcMo2, from Alexandria.

abc: 6.491 6.491 4.572
angles: 90.00 90.00 90.00
Positions (direct):
Zr: 0.176 0.324 0.000
Zr: 0.324 0.824 0.000
Zr: 0.676 0.176 0.000
Zr: 0.824 0.676 0.000
Tc: 0.000 0.000 0.500
Tc: 0.500 0.500 0.500
Mo: 0.140 0.640 0.500
Mo: 0.360 0.140 0.500
Mo: 0.640 0.860 0.500
Mo: 0.860 0.360 0.500

Calculated values
Spin magnetization ... 0.00 μB per formula unit
E_form ... 0.135 eV per atom

(11)
The following is a PBE-GGA calculation of a relaxed structure of CsGe2Sb2Au6, from Alexandria.

abc: 7.246 7.648 7.664
angles: 67.24 73.05 72.87
Positions (direct):
Cs: 0.000 0.000 0.000
Ge: 0.441 0.618 0.617
Ge: 0.559 0.382 0.383
Sb: 0.132 0.301 0.297
Sb: 0.868 0.699 0.703
Au: 0.194 0.499 0.499
Au: 0.210 0.475 0.915
Au: 0.211 0.918 0.473
Au: 0.789 0.082 0.527
Au: 0.790 0.525 0.085
Au: 0.806 0.501 0.501

Calculated values
Spin magnetization ... 0.00 μB per formula unit
Formation energy (no corrections) ... -0.0606 eV per atom

(12)
The following is a PBE-GGA calculation of a relaxed structure of TbPmTm2, from Alexandria.

abc: 6.236 7.246 11.314
angles: 90.00 90.01 90.00
Positions (direct):
Tb: 0.166 0.246 0.377
Tb: 0.166 0.754 0.877
Tb: 0.834 0.246 0.123
Tb: 0.834 0.754 0.623
Pm: 0.331 0.499 0.125
Pm: 0.331 0.501 0.625
Pm: 0.669 0.499 0.375
Pm: 0.669 0.501 0.875
Tm: 0.168 0.245 0.874
Tm: 0.168 0.755 0.374
Tm: 0.333 0.001 0.125
Tm: 0.333 0.999 0.625
Tm: 0.667 0.001 0.375
Tm: 0.667 0.999 0.875
Tm: 0.832 0.245 0.626
Tm: 0.832 0.755 0.126

Calculated values
Spin magnetization ... 0.00 μB per formula unit
E_form ... 0.014 eV per atom